Entry from Alexandria: a relaxed MgZnCoF6 crystal (GGA+U).

The crystal system is trigonal. The calculation puts the raw total energy at -42.9 eV/f.u. Its magnetic moment is 3.0 μB per formula unit. As for the volume: 210 Å³/cell.

It has space group P-31c (No. 163), with a = 5.1955 Å, b = 5.1955 Å, c = 8.9782 Å, α = 90.00°, β = 90.00° and γ = 120.00°. The inequivalent atoms are Mg at (0.0000, 0.0000, 0.0000), Zn at (0.3333, 0.6667, 0.2500), Co at (0.3333, 0.6667, 0.7500) and F at (0.9995, 0.3269, 0.1277).